An optimized crystal structure of Rb3HoNp3Se8. Source: Alexandria, functional PBE-GGA.

Unit cell a=14.677 b=8.472 c=9.473 alpha=90.00 beta=121.14 gamma=90.00
Space group C2/m (No. 12)
One atom of each set of equivalent atoms:
Rb1 0.000 0.000 0.000 [2 per cell]
Rb2 0.250 0.250 0.000 [4 per cell]
Ho1 0.000 0.000 0.500 [2 per cell]
Np1 0.000 0.500 0.500 [2 per cell]
Np2 0.250 0.250 0.500 [4 per cell]
Se1 0.020 0.249 0.309 [8 per cell]
Se2 0.230 0.000 0.690 [4 per cell]
Se3 0.232 0.500 0.694 [4 per cell]

Summary:
**Crystal system**: monoclinic
**DFT total energy**: -0.234 Ha/atom
**Raw formation energy**: -1.42 eV per atom